Entry 1:
A geometry-optimized Y2GaPdCl structure, computed with PBE-GGA.

CIF file:
```
data_Y2GaPdCl
_space_group_name_H-M_alt 'P 4/m m m'
_space_group_IT_number 123
_space_group_name_Hall '-P 4 2'
_cell_length_a 5.489
_cell_length_b 5.489
_cell_length_c 4.628
_cell_angle_alpha 90.00
_cell_angle_beta 90.00
_cell_angle_gamma 90.00
loop_
_atom_site_label
_atom_site_fract_x
_atom_site_fract_y
_atom_site_fract_z
_atom_site_occupancy
Y1 0.000 0.500 0.000 1
Ga1 0.000 0.000 0.000 1
Pd1 0.000 0.000 0.500 1
Cl1 0.500 0.500 0.500 1
```



Entry 2:
# PmGaCl4 | Alexandria via LeMat-Bulk | PBE-GGA | optimized geometry
data_PmGaCl4
_space_group_name_H-M_alt 'C 1 2/m 1'
_space_group_IT_number 12
_cell_length_a 12.776
_cell_length_b 4.233
_cell_length_c 7.803
_cell_angle_alpha 90.00
_cell_angle_beta 100.60
_cell_angle_gamma 90.00
loop_
_space_group_symop_operation_xyz
'x,y,z'
'-x,-y,-z'
'-x,y,-z'
'x,-y,z'
'x+1/2,y+1/2,z'
'-x+1/2,-y+1/2,-z'
'-x+1/2,y+1/2,-z'
'x+1/2,-y+1/2,z'
loop_
_atom_site_label
_atom_site_fract_x
_atom_site_fract_y
_atom_site_fract_z
_atom_site_occupancy
Pm1 0.000 0.000 0.000 1
Ga1 0.000 0.500 0.500 1
Cl1 0.109 0.000 0.329 1
Cl2 0.117 0.500 0.902 1
# E above lowest polymorph: 0.014 eV/atom



Entry 3:
A geometry-optimized Pm4GaCl5 structure, computed with PBE-GGA.

CIF file:
```
data_Pm4GaCl5
_space_group_name_H-M_alt 'C 1 2/m 1'
_space_group_IT_number 12
_cell_length_a 18.204
_cell_length_b 4.085
_cell_length_c 8.369
_cell_angle_alpha 90.00
_cell_angle_beta 103.84
_cell_angle_gamma 90.00
loop_
_space_group_symop_operation_xyz
'x,y,z'
'-x,-y,-z'
'-x,y,-z'
'x,-y,z'
'x+1/2,y+1/2,z'
'-x+1/2,-y+1/2,-z'
'-x+1/2,y+1/2,-z'
'x+1/2,-y+1/2,z'
loop_
_atom_site_label
_atom_site_fract_x
_atom_site_fract_y
_atom_site_fract_z
_atom_site_occupancy
Pm1 0.000 0.000 0.239 1
Pm2 0.157 0.500 0.091 1
Ga1 0.000 0.500 0.000 1
Cl1 0.000 0.500 0.500 1
Cl2 0.166 0.000 0.327 1
Cl3 0.171 0.000 0.855 1
```



Entry 4:
A geometry-optimized Pm3GaCl3 structure, computed with PBE-GGA.

CIF file:
```
data_Pm3GaCl3
_space_group_name_H-M_alt 'P m -3 m'
_space_group_IT_number 221
_space_group_name_Hall '-P 4 2 3'
_cell_length_a 5.794
_cell_length_b 5.794
_cell_length_c 5.794
_cell_angle_alpha 90.00
_cell_angle_beta 90.00
_cell_angle_gamma 90.00
loop_
_atom_site_label
_atom_site_fract_x
_atom_site_fract_y
_atom_site_fract_z
_atom_site_occupancy
Pm1 0.000 0.000 0.500 1
Ga1 0.000 0.000 0.000 1
Cl1 0.000 0.500 0.500 1
```



Entry 5:
A geometry-optimized Pm6GaCl8 structure, computed with PBE-GGA.

CIF file:
```
data_Pm6GaCl8
_space_group_name_H-M_alt 'R -3'
_space_group_IT_number 148
_space_group_name_Hall '-R 3'
_cell_length_a 7.0367
_cell_length_b 7.0367
_cell_length_c 30.5347
_cell_angle_alpha 90.00
_cell_angle_beta 90.00
_cell_angle_gamma 120.00
loop_
_atom_site_label
_atom_site_fract_x
_atom_site_fract_y
_atom_site_fract_z
_atom_site_occupancy
Pm1 0.9998 0.3242 0.0539 1
Ga1 0.0000 0.0000 0.0000 1
Cl1 0.0000 0.0000 0.3334 1
Cl2 0.9999 0.3315 0.8916 1
```



Entry 6:
A geometry-optimized Pm4Ga2Cl5 structure, computed with PBE-GGA.

CIF file:
```
data_Pm4Ga2Cl5
_space_group_name_H-M_alt 'C 1 2/m 1'
_space_group_IT_number 12
_cell_length_a 23.842
_cell_length_b 3.938
_cell_length_c 8.343
_cell_angle_alpha 90.00
_cell_angle_beta 104.03
_cell_angle_gamma 90.00
loop_
_space_group_symop_operation_xyz
'x,y,z'
'-x,-y,-z'
'-x,y,-z'
'x,-y,z'
'x+1/2,y+1/2,z'
'-x+1/2,-y+1/2,-z'
'-x+1/2,y+1/2,-z'
'x+1/2,-y+1/2,z'
loop_
_atom_site_label
_atom_site_fract_x
_atom_site_fract_y
_atom_site_fract_z
_atom_site_occupancy
Pm1 0.012 0.000 0.269 1
Pm2 0.162 0.500 0.469 1
Ga1 0.055 0.500 0.558 1
Cl1 0.000 0.500 0.000 1
Cl2 0.130 0.000 0.227 1
Cl3 0.229 0.000 0.665 1
```



Entry 7:
A geometry-optimized Pm2GaCl2 structure, computed with PBE-GGA.

CIF file:
```
data_Pm2GaCl2
_space_group_name_H-M_alt 'C 1 2/m 1'
_space_group_IT_number 12
_cell_length_a 6.974
_cell_length_b 4.025
_cell_length_c 10.684
_cell_angle_alpha 90.00
_cell_angle_beta 90.58
_cell_angle_gamma 90.00
loop_
_space_group_symop_operation_xyz
'x,y,z'
'-x,-y,-z'
'-x,y,-z'
'x,-y,z'
'x+1/2,y+1/2,z'
'-x+1/2,-y+1/2,-z'
'-x+1/2,y+1/2,-z'
'x+1/2,-y+1/2,z'
loop_
_atom_site_label
_atom_site_fract_x
_atom_site_fract_y
_atom_site_fract_z
_atom_site_occupancy
Pm1 0.170 0.000 0.180 1
Ga1 0.000 0.500 0.000 1
Cl1 0.161 0.000 0.666 1
```



Entry 8:
# PmGaCl | Alexandria via LeMat-Bulk | PBE-GGA | optimized geometry
data_PmGaCl
_space_group_name_H-M_alt 'C 1 2/m 1'
_space_group_IT_number 12
_cell_length_a 7.235
_cell_length_b 4.178
_cell_length_c 10.959
_cell_angle_alpha 90.00
_cell_angle_beta 91.75
_cell_angle_gamma 90.00
loop_
_space_group_symop_operation_xyz
'x,y,z'
'-x,-y,-z'
'-x,y,-z'
'x,-y,z'
'x+1/2,y+1/2,z'
'-x+1/2,-y+1/2,-z'
'-x+1/2,y+1/2,-z'
'x+1/2,-y+1/2,z'
loop_
_atom_site_label
_atom_site_fract_x
_atom_site_fract_y
_atom_site_fract_z
_atom_site_occupancy
Pm1 0.009 0.000 0.194 1
Ga1 0.165 0.500 0.971 1
Cl1 0.182 0.500 0.340 1
# E above lowest polymorph: 0.000 eV/atom



Entry 9:
# PmGaCl | Alexandria via LeMat-Bulk | PBE-GGA | optimized geometry
data_PmGaCl
_space_group_name_H-M_alt 'C m c m'
_space_group_IT_number 63
_space_group_name_Hall '-C 2c 2'
_cell_length_a 4.514
_cell_length_b 14.634
_cell_length_c 4.335
_cell_angle_alpha 90.00
_cell_angle_beta 90.00
_cell_angle_gamma 90.00
loop_
_atom_site_label
_atom_site_fract_x
_atom_site_fract_y
_atom_site_fract_z
_atom_site_occupancy
Pm1 0.000 0.118 0.250 1
Ga1 0.000 0.457 0.250 1
Cl1 0.000 0.249 0.750 1
# E above lowest polymorph: 0.175 eV/atom



Entry 10:
A geometry-optimized Pm3GaCl structure, computed with PBE-GGA.

CIF file:
```
data_Pm3GaCl
_space_group_name_H-M_alt 'P m m n'
_space_group_IT_number 59
_cell_length_a 3.615
_cell_length_b 9.646
_cell_length_c 8.225
_cell_angle_alpha 90.00
_cell_angle_beta 90.00
_cell_angle_gamma 90.00
loop_
_space_group_symop_operation_xyz
'x,y,z'
'-x,-y,-z'
'-x+1/2,-y+1/2,z'
'x+1/2,y+1/2,-z'
'x+1/2,-y,-z'
'-x+1/2,y,z'
'-x,y+1/2,-z'
'x,-y+1/2,z'
loop_
_atom_site_label
_atom_site_fract_x
_atom_site_fract_y
_atom_site_fract_z
_atom_site_occupancy
Pm1 0.250 0.049 0.180 1
Pm2 0.250 0.250 0.654 1
Ga1 0.250 0.750 0.050 1
Cl1 0.250 0.750 0.634 1
```



Entry 11:
# PmGaCl4 | Alexandria via LeMat-Bulk | PBE-GGA | optimized geometry
data_PmGaCl4
_space_group_name_H-M_alt 'C 1 2/c 1'
_space_group_IT_number 15
_cell_length_a 9.467
_cell_length_b 15.037
_cell_length_c 6.828
_cell_angle_alpha 90.00
_cell_angle_beta 127.69
_cell_angle_gamma 90.00
loop_
_space_group_symop_operation_xyz
'x,y,z'
'-x,-y,-z'
'-x,y,-z+1/2'
'x,-y,z+1/2'
'x+1/2,y+1/2,z'
'-x+1/2,-y+1/2,-z'
'-x+1/2,y+1/2,-z+1/2'
'x+1/2,-y+1/2,z+1/2'
loop_
_atom_site_label
_atom_site_fract_x
_atom_site_fract_y
_atom_site_fract_z
_atom_site_occupancy
Pm1 0.000 0.086 0.250 1
Ga1 0.000 0.333 0.750 1
Cl1 0.158 0.212 0.165 1
Cl2 0.220 0.037 0.737 1
# E above lowest polymorph: 0.000 eV/atom



Number 1: ΔE_f (raw) -31 kJ/mol of atoms, total moment 0.00 μB per cell. Number 2: ΔE_f (raw) -166 kJ/mol of atoms, total moment 0.00 μB per cell. Number 3: ΔE_f (raw) -160 kJ/mol of atoms, total moment 0.00 μB per cell. Number 4: ΔE_f (raw) -148 kJ/mol of atoms, total moment 0.00 μB per cell. Number 5: ΔE_f (raw) -161 kJ/mol of atoms, total moment 0.00 μB per cell. Number 6: ΔE_f (raw) -141 kJ/mol of atoms, total moment 0.00 μB per cell. Number 7: ΔE_f (raw) -141 kJ/mol of atoms, total moment 0.00 μB per cell. Number 8: ΔE_f (raw) -136 kJ/mol of atoms, total moment 0.00 μB per cell. Number 9: ΔE_f (raw) -119 kJ/mol of atoms, total moment 0.00 μB per cell. Number 10: ΔE_f (raw) -65 kJ/mol of atoms, total moment 0.00 μB per cell. Number 11: ΔE_f (raw) -168 kJ/mol of atoms, total moment 0.00 μB per cell.